Compound: Ni2Te
Source: the Alexandria database
Functional: SCAN
Structure: PBEsol geometry

Unit cell a=3.986 b=3.964 c=7.250 alpha=90.62 beta=90.00 gamma=120.18
Sites, in units of the cell vectors:
Ni: 0.000 0.000 0.665
Ni: 0.000 0.000 0.335
Ni: 0.667 0.334 0.442
Ni: 0.333 0.666 0.558
Te: 0.667 0.335 0.794
Te: 0.333 0.665 0.206

Results
Raw total energy = -140.0 eV/cell
Calculated volume = 99 Å³ per cell
Uncorrected formation energy = -142 meV per atom
Total moment = 0.0 μB per cell